SiSbIr2 after structural relaxation. Source: Alexandria, functional PBE.

Lattice parameters (Å, degrees): 3.079 3.822 5.654 90.00 90.00 90.00
Atoms (fractional coordinates):
Si (0.000, 0.000, 0.000)
Sb (0.500, 0.500, 0.621)
Ir (0.000, 0.000, 0.428)
Ir (0.500, 0.500, 0.096)

Output
The value obtained for the volume is 66.5 Å³ per cell. The energy comes out at -6.934 eV per atom. The value obtained for the total magnetic moment is 0.0 μB/f.u.